First-principles (PBE) data for crystalline CaBeCd2 at its relaxed geometry, as listed in Alexandria via LeMat-Bulk.

## Properties
- E_tot (eV/cell) = -6.86
- symmetry = P4/mmm (123)
- energy of formation from the pure elements (eV/atom) = 0.174

Geometry as extended XYZ:
```
4
Lattice="-2.911 3.291 -0.426 -2.266 -1.558 3.450 2.492 2.566 2.796" Properties=species:S:1:pos:R:3 pbc="T T T"
Be -0.209 2.929 1.185
Ca 0.113 0.504 3.123
Cd 0.000 0.000 0.000
Cd -2.589 0.866 1.512
```

First-principles (PBE) data for crystalline Ca2BeCd at its relaxed geometry, as listed in Alexandria via LeMat-Bulk.

## Properties
- offset from the most stable computed form (meV per atom) = 107
- E_tot (eV/cell) = -8.08
- symmetry = P4mm (99)
- energy of formation from the pure elements (eV/atom) = 0.140

Geometry as extended XYZ:
```
4
Lattice="3.529 0.000 0.000 0.000 3.529 0.000 0.000 0.000 8.357" Properties=species:S:1:pos:R:3 pbc="T T T"
Be 1.765 1.765 5.842
Ca 0.000 0.000 7.784
Ca 1.765 1.765 2.571
Cd 0.000 0.000 4.697
```

First-principles (PBE) data for crystalline Ca2BeCd at its relaxed geometry, as listed in Alexandria via LeMat-Bulk.

## Properties
- offset from the most stable computed form (meV per atom) = 22
- E_tot (eV/cell) = -8.43
- symmetry = R3m (160)
- energy of formation from the pure elements (eV/atom) = 0.055

Geometry as extended XYZ:
```
4
Lattice="7.339 -0.063 -0.039 6.032 4.182 -0.039 6.032 1.858 3.746" Properties=species:S:1:pos:R:3 pbc="T T T"
Be 15.379 4.736 2.908
Ca 0.695 0.214 0.131
Ca 4.149 1.278 0.784
Cd 8.883 2.736 1.679
```

First-principles (PBE) data for crystalline Ca2BeCd2 at its relaxed geometry, as listed in Alexandria via LeMat-Bulk.

## Properties
- offset from the most stable computed form (meV per atom) = 225
- E_tot (eV/cell) = -16.22
- symmetry = P4/mbm (127)
- energy of formation from the pure elements (eV/atom) = 0.290

Geometry as extended XYZ:
```
10
Lattice="-0.932 3.527 -7.253 -3.614 -6.710 -2.799 -3.879 1.564 1.259" Properties=species:S:1:pos:R:3 pbc="T T T"
Be 0.000 0.000 0.000
Be -2.273 -1.591 -5.026
Ca -3.335 -4.425 -4.777
Ca -3.179 -1.506 -7.922
Ca -1.211 1.242 -5.274
Ca -1.367 -1.677 -2.130
Cd -4.365 -3.006 -2.137
Cd -5.655 -2.772 -6.401
Cd -4.060 1.387 -6.656
Cd -2.770 1.153 -2.391
```

First-principles (PBE) data for crystalline Ca2BeCd at its relaxed geometry, as listed in Alexandria via LeMat-Bulk.

## Properties
- offset from the most stable computed form (meV per atom) = 223
- E_tot (eV/cell) = -7.62
- symmetry = C2/m (12)
- energy of formation from the pure elements (eV/atom) = 0.256

Geometry as extended XYZ:
```
4
Lattice="-2.022 2.387 2.250 -3.203 -1.381 1.638 2.698 -2.215 8.424" Properties=species:S:1:pos:R:3 pbc="T T T"
Be -0.632 -0.302 3.078
Ca -5.071 0.920 4.125
Ca -1.417 -0.518 5.920
Cd -1.895 -0.907 9.235
```

First-principles (PBE) data for crystalline CaBeCd2 at its relaxed geometry, as listed in Alexandria via LeMat-Bulk.

## Properties
- E_tot (eV/cell) = -6.30
- symmetry = C2/m (12)
- energy of formation from the pure elements (eV/atom) = 0.315

Geometry as extended XYZ:
```
4
Lattice="6.011 -0.051 0.036 -2.979 5.222 0.036 0.673 1.147 2.867" Properties=species:S:1:pos:R:3 pbc="T T T"
Be 3.342 0.548 1.452
Ca -1.153 3.184 1.452
Cd 0.000 0.000 0.000
Cd 1.516 2.585 0.036
```